Entry 1:
A crystal of BaSc2Tl relaxed with PBEsol, computed with SCAN.

Unit cell a=6.580 b=6.580 c=6.580 alpha=147.29 beta=132.93 gamma=58.50
Fractional positions:
Ba1 0.000 0.000 0.000
Sc1 0.287 0.787 0.500
Sc2 0.548 0.548 0.000
Tl1 0.747 0.247 0.500



Entry 2:
A crystal of BaSc2W relaxed with PBEsol, computed with SCAN.

Unit cell a=3.119 b=4.916 c=7.049 alpha=90.00 beta=99.53 gamma=90.00
Fractional positions:
Ba1 0.000 0.000 0.000
Sc1 0.331 0.000 0.550
Sc2 0.717 0.500 0.371
W1 0.318 0.500 0.701



Entry 3:
A crystal of Ba4ScW relaxed with PBEsol, computed with SCAN.

Unit cell a=6.820 b=6.820 c=6.820 alpha=60.00 beta=60.00 gamma=60.00
Fractional positions:
Ba1 0.376 0.376 0.376
Ba2 0.376 0.376 0.873
Ba3 0.376 0.873 0.376
Ba4 0.873 0.376 0.376
Sc1 0.000 0.000 0.000
W1 0.750 0.750 0.750



Entry 4:
A crystal of BaSc2W relaxed with PBEsol, computed with SCAN.

Unit cell a=3.282 b=3.293 c=9.559 alpha=90.00 beta=90.00 gamma=90.00
Fractional positions:
Ba1 0.000 0.000 0.000
Sc1 0.500 0.500 0.331
Sc2 0.500 0.500 0.669
W1 0.000 0.000 0.500



| no. | energy of formation (eV/atom) |
| --- | --- |
| 1 | 0.04 |
| 2 | 0.70 |
| 3 | 1.40 |
| 4 | 0.45 |